Record 1
{
  "formula": "LiGePBr",
  "functional": "PBE",
  "state": "relaxed",
  "lattice": [[3.804, 0.000, 0.000], [-1.902, 3.294, 0.000], [0.000, 0.000, 7.362]],
  "species": ["P", "Ge", "Li", "Br"],
  "fractional_positions": [[0.333, 0.667, 0.805], [0.667, 0.333, 0.669], [0.333, 0.667, 0.159], [0.000, 0.000, 0.306]],
  "e_above_lowest_polymorph_mev_per_atom": 0,
  "m_tot_mub_per_cell": 0.0,
  "space_group": "P3m1, No. 156"
}

=====

Record 2
{
  "formula": "Ti4Os",
  "functional": "PBE",
  "state": "relaxed",
  "lattice": [[4.765, 1.836, 0.000], [2.023, 6.415, 0.000], [0.000, 0.000, 6.291]],
  "species": ["Ti", "Ti", "Ti", "Ti", "Ti", "Ti", "Ti", "Ti", "Os", "Os"],
  "fractional_positions": [[0.744, 0.448, 0.872], [0.244, 0.948, 0.628], [0.532, 0.832, 0.177], [0.756, 0.052, 0.372], [0.256, 0.552, 0.128], [0.032, 0.332, 0.323], [0.468, 0.168, 0.823], [0.968, 0.668, 0.677], [0.500, 0.500, 0.500], [0.000, 0.000, 0.000]],
  "e_above_lowest_polymorph_mev_per_atom": 0,
  "e_form_ev_per_atom": -0.123,
  "m_tot_mub_per_cell": 0.0,
  "space_group": "P2_1/c, No. 14"
}

=====

Record 3
{
  "formula": "ZrTl2Fe",
  "functional": "PBE",
  "state": "relaxed",
  "lattice": [[5.526, 0.180, 0.000], [2.057, 5.132, 0.000], [-3.791, -2.656, 3.023]],
  "species": ["Zr", "Tl", "Tl", "Fe"],
  "fractional_positions": [[0.500, 0.500, 0.000], [0.250, 0.750, 0.500], [0.000, 0.000, 0.000], [0.750, 0.250, 0.500]],
  "e_above_lowest_polymorph_mev_per_atom": 146,
  "e_form_ev_per_atom": 0.340,
  "m_tot_mub_per_cell": 2.4,
  "space_group": "I-4m2, No. 119"
}

=====

Record 4
{
  "formula": "Fe2Co",
  "functional": "PBE",
  "state": "relaxed",
  "lattice": [[2.013, -6.051, 0.000], [2.013, 6.051, 0.000], [0.000, 0.000, 2.840]],
  "species": ["Fe", "Fe", "Fe", "Fe", "Co", "Co"],
  "fractional_positions": [[0.667, 0.333, 0.500], [0.333, 0.667, 0.500], [0.000, 0.000, 0.500], [0.500, 0.500, 0.000], [0.167, 0.833, 0.000], [0.833, 0.167, 0.000]],
  "e_form_ev_per_atom": -0.059,
  "m_tot_mub_per_cell": 13.9,
  "space_group": "Cmmm, No. 65"
}

=====

Record 5
{
  "formula": "CaEuSb2",
  "functional": "PBE",
  "state": "relaxed",
  "lattice": [[-5.015, 1.427, 1.877], [-2.573, -3.190, 3.731], [-0.605, 1.774, 5.216]],
  "species": ["Sb", "Sb", "Eu", "Ca"],
  "fractional_positions": [[0.250, 0.250, 0.250], [0.750, 0.750, 0.750], [0.000, 0.000, 0.000], [0.500, 0.500, 0.500]],
  "e_above_lowest_polymorph_mev_per_atom": 34,
  "m_tot_mub_per_cell": 6.9,
  "space_group": "Fm-3m, No. 225"
}

=====

Record 6
{
  "formula": "PaIn2Bi2",
  "functional": "PBE",
  "state": "relaxed",
  "lattice": [[5.331, 0.000, 0.000], [-2.665, 4.617, 0.000], [0.000, 0.000, 12.659]],
  "species": ["Bi", "Bi", "Bi", "Bi", "In", "In", "In", "In", "Pa", "Pa"],
  "fractional_positions": [[0.333, 0.667, 0.250], [0.000, 0.000, 0.000], [0.667, 0.333, 0.750], [0.000, 0.000, 0.500], [0.333, 0.667, 0.610], [0.667, 0.333, 0.390], [0.333, 0.667, 0.890], [0.667, 0.333, 0.110], [0.000, 0.000, 0.750], [0.000, 0.000, 0.250]],
  "e_form_ev_per_atom": 0.068,
  "m_tot_mub_per_cell": 0.0,
  "space_group": "P6_3/mmc, No. 194"
}

=====

Record 7
{
  "formula": "ZnH2Br2",
  "functional": "PBE",
  "state": "relaxed",
  "lattice": [[3.662, 0.000, 0.000], [0.000, 3.662, 0.000], [1.831, 1.831, 6.111]],
  "species": ["Zn", "H", "H", "Br", "Br"],
  "fractional_positions": [[0.000, 0.000, 0.000], [0.750, 0.250, 0.500], [0.250, 0.750, 0.500], [0.656, 0.656, 0.688], [0.344, 0.344, 0.312]],
  "e_above_lowest_polymorph_mev_per_atom": 346,
  "m_tot_mub_per_cell": 0.0,
  "space_group": "I4/mmm, No. 139"
}

=====

Record 8
{
  "formula": "H4PbBr",
  "functional": "PBE",
  "state": "relaxed",
  "lattice": [[-5.791, -0.258, -2.176], [-5.684, -6.130, -18.816], [-1.628, -5.224, -8.364]],
  "species": ["H", "H", "H", "H", "H", "H", "H", "H", "Pb", "Pb", "Br", "Br"],
  "fractional_positions": [[0.900, 0.192, 0.000], [0.236, 0.690, 0.237], [0.100, 0.808, 0.000], [0.728, 0.874, 0.770], [0.707, 0.761, 0.033], [0.293, 0.239, 0.967], [0.764, 0.310, 0.763], [0.272, 0.126, 0.230], [0.792, 0.650, 0.628], [0.208, 0.350, 0.372], [0.462, 0.534, 0.137], [0.538, 0.466, 0.863]],
  "m_tot_mub_per_cell": 0.0,
  "final_energy_ev_per_atom": -3.2812,
  "space_group": "P-1, No. 2"
}

=====

Record 9
{
  "formula": "CaPmCdRu",
  "functional": "PBE",
  "state": "relaxed",
  "lattice": [[-3.160, 1.758, 3.626], [0.961, -0.987, 4.932], [1.523, 3.768, 3.116]],
  "species": ["Pm", "Ca", "Cd", "Ru"],
  "fractional_positions": [[0.250, 0.250, 0.250], [0.750, 0.750, 0.750], [0.000, 0.000, 0.000], [0.500, 0.500, 0.500]],
  "e_form_ev_per_atom": -0.070,
  "m_tot_mub_per_cell": 0.0,
  "space_group": "F-43m, No. 216"
}

=====

Record 10
{
  "formula": "Tl2ReHg",
  "functional": "PBE",
  "state": "relaxed",
  "lattice": [[-2.930, -4.441, 1.504], [-2.494, -2.490, -4.260], [5.169, 1.705, 0.968]],
  "species": ["Hg", "Tl", "Tl", "Re"],
  "fractional_positions": [[0.250, 0.750, 0.500], [0.000, 0.000, 0.000], [0.500, 0.500, 0.000], [0.750, 0.250, 0.500]],
  "e_above_lowest_polymorph_mev_per_atom": 309,
  "e_form_ev_per_atom": 0.998,
  "m_tot_mub_per_cell": 0.9,
  "space_group": "I4/mmm, No. 139"
}

=====

Record 11
{
  "formula": "Fe2Ni8H",
  "functional": "PBE",
  "state": "relaxed",
  "lattice": [[3.961, 0.000, -1.203], [-0.607, 4.496, -2.000], [-0.203, 0.110, 6.456]],
  "species": ["Ni", "Ni", "Ni", "Ni", "Ni", "Ni", "Ni", "Ni", "Fe", "Fe", "H"],
  "fractional_positions": [[0.385, 0.135, 0.770], [0.385, 0.635, 0.770], [0.000, 0.253, 0.000], [0.191, 0.191, 0.381], [0.615, 0.865, 0.230], [0.809, 0.809, 0.619], [0.615, 0.365, 0.230], [0.000, 0.747, 0.000], [0.810, 0.310, 0.620], [0.190, 0.690, 0.380], [0.500, 0.000, 0.000]],
  "m_tot_mub_per_cell": 9.9,
  "final_energy_ev_per_atom": -6.0132,
  "space_group": "Immm, No. 71"
}

=====

Record 12
{
  "formula": "Ce4InBi",
  "functional": "PBE",
  "state": "relaxed",
  "lattice": [[3.350, 0.000, 0.000], [-1.675, 9.005, 0.000], [0.000, 0.000, 11.219]],
  "species": ["Ce", "Ce", "Ce", "Ce", "Ce", "Ce", "Ce", "Ce", "In", "In", "Bi", "Bi"],
  "fractional_positions": [[0.335, 0.671, 0.748], [0.665, 0.329, 0.248], [0.005, 0.010, 0.755], [0.416, 0.831, 0.541], [0.584, 0.169, 0.041], [0.995, 0.990, 0.255], [0.089, 0.178, 0.534], [0.911, 0.822, 0.034], [0.248, 0.496, 0.014], [0.752, 0.504, 0.514], [0.333, 0.666, 0.269], [0.667, 0.334, 0.769]],
  "e_above_lowest_polymorph_mev_per_atom": 60,
  "e_form_ev_per_atom": -0.162,
  "m_tot_mub_per_cell": 2.5,
  "space_group": "Cmc2_1, No. 36"
}